# 1
Na3Ac2FeO6 | PBE with a Hubbard U | relaxed

a = 6.2449 Å, b = 6.2449 Å, c = 5.9272 Å
α = 98.53°, β = 98.53°, γ = 121.50°
Last column: nearest neighbours and their distance in Å.
Fractional positions:
1 Na 0.1314 0.8686 0.5000  4 O 2.38-2.41
2 Na 0.8686 0.1314 0.5000  4 O 2.38-2.41
3 Na 0.5000 0.5000 0.5000  6 O 2.58-2.69
4 Ac 0.3317 0.6683 0.0000  6 O 2.50-2.55
5 Ac 0.6683 0.3317 0.0000  6 O 2.50-2.55
6 Fe 0.0000 0.0000 0.0000  6 O 2.14-2.17
7 O 0.9356 0.6523 0.7879  1 Fe 2.14
8 O 0.7614 0.7614 0.2076  1 Fe 2.17, 2 Na 2.38
9 O 0.0644 0.3477 0.2121  1 Fe 2.14
10 O 0.6523 0.9356 0.7879  1 Fe 2.14
11 O 0.2386 0.2386 0.7924  1 Fe 2.17, 2 Na 2.38
12 O 0.3477 0.0644 0.2121  1 Fe 2.14

---

# 2
NaAc2FeO5 | PBE with a Hubbard U | relaxed

a = 5.7767 Å, b = 7.1648 Å, c = 7.1648 Å
α = 90.00°, β = 90.00°, γ = 90.00°
Last column: nearest neighbours and their distance in Å.
Fractional positions:
1 Na 0.0000 0.5000 0.5000  10 O 2.89-3.13
2 Na 0.0000 0.0000 0.0000  10 O 2.89-3.13
3 Ac 0.5000 0.6816 0.1816  8 O 2.48-2.72
4 Ac 0.5000 0.1816 0.3184  8 O 2.48-2.72
5 Ac 0.5000 0.8184 0.6816  8 O 2.48-2.72
6 Ac 0.5000 0.3184 0.8184  8 O 2.48-2.72
7 Fe 0.0000 0.0000 0.5000  4 O 1.86
8 Fe 0.0000 0.5000 0.0000  4 O 1.86
9 O 0.5000 0.5000 0.5000  4 Ac 2.63, 2 Na 2.89
10 O 0.5000 0.0000 0.0000  4 Ac 2.63, 2 Na 2.89
11 O 0.2336 0.1270 0.6270  1 Fe 1.86
12 O 0.2336 0.8730 0.3730  1 Fe 1.86
13 O 0.2336 0.3730 0.1270  1 Fe 1.86
14 O 0.2336 0.6270 0.8730  1 Fe 1.86
15 O 0.7664 0.1270 0.6270  1 Fe 1.86
16 O 0.7664 0.6270 0.8730  1 Fe 1.86
17 O 0.7664 0.8730 0.3730  1 Fe 1.86
18 O 0.7664 0.3730 0.1270  1 Fe 1.86

---

Which energy belongs to each record? In order, -6.099 -6.839 eV/atom.